The following is a DFT calculation (PBE) of an optimized crystal structure of Sr3Cr.

CIF file:
```
data_Sr3Cr
_chemical_formula_sum 'Sr6 Cr2'
_space_group_name_H-M_alt 'P 1'
_space_group_IT_number 1
_cell_length_a 7.851
_cell_length_b 7.851
_cell_length_c 6.293
_cell_angle_alpha 90.00
_cell_angle_beta 90.00
_cell_angle_gamma 120.00
loop_
_space_group_symop_operation_xyz
'x,y,z'
loop_
_atom_site_label
_atom_site_fract_x
_atom_site_fract_y
_atom_site_fract_z
_atom_site_occupancy
Cr1 0.667 0.333 0.750 1
Sr1 0.827 0.173 0.250 1
Sr2 0.173 0.345 0.750 1
Sr3 0.655 0.827 0.750 1
Cr2 0.333 0.667 0.250 1
Sr4 0.827 0.655 0.250 1
Sr5 0.173 0.827 0.750 1
Sr6 0.345 0.173 0.250 1
```

## Properties
Space-group type: No. 194
Energy of formation from the pure elements: 181 kJ/mol of formula units

***

The following is a DFT calculation (PBE) of an optimized crystal structure of Ac3Pr2Y3.

CIF file:
```
data_Ac3Pr2Y3
_chemical_formula_sum 'Ac6 Pr4 Y6'
_space_group_name_H-M_alt 'P 1'
_space_group_IT_number 1
_cell_length_a 6.815
_cell_length_b 10.246
_cell_length_c 10.246
_cell_angle_alpha 60.00
_cell_angle_beta 90.00
_cell_angle_gamma 90.00
loop_
_space_group_symop_operation_xyz
'x,y,z'
loop_
_atom_site_label
_atom_site_fract_x
_atom_site_fract_y
_atom_site_fract_z
_atom_site_occupancy
Ac1 0.750 0.231 0.769 1
Y1 0.750 0.587 0.413 1
Ac2 0.750 0.000 0.231 1
Ac3 0.250 0.769 0.231 1
Y2 0.250 0.413 0.587 1
Pr1 0.000 0.333 0.333 1
Y3 0.250 0.587 0.000 1
Pr2 0.000 0.667 0.667 1
Ac4 0.750 0.769 0.000 1
Y4 0.750 0.413 0.000 1
Ac5 0.250 0.000 0.769 1
Ac6 0.250 0.231 0.000 1
Pr3 0.500 0.333 0.333 1
Y5 0.250 0.000 0.413 1
Y6 0.750 0.000 0.587 1
Pr4 0.500 0.667 0.667 1
```

## Properties
Space-group type: No. 193
Energy of formation from the pure elements: 144 kJ/mol of formula units

***

The following is a DFT calculation (PBE) of an optimized crystal structure of Rb3CeRh2Se6.

CIF file:
```
data_Rb3CeRh2Se6
_chemical_formula_sum 'Rb3 Ce1 Rh2 Se6'
_space_group_name_H-M_alt 'P 1'
_space_group_IT_number 1
_cell_length_a 6.872
_cell_length_b 6.872
_cell_length_c 8.293
_cell_angle_alpha 98.08
_cell_angle_beta 98.08
_cell_angle_gamma 120.02
loop_
_space_group_symop_operation_xyz
'x,y,z'
loop_
_atom_site_label
_atom_site_fract_x
_atom_site_fract_y
_atom_site_fract_z
_atom_site_occupancy
Se1 0.430 0.060 0.179 1
Ce1 0.000 0.000 0.000 1
Se2 0.309 0.309 0.823 1
Rb1 0.500 0.500 0.500 1
Rh1 0.333 0.667 0.000 1
Rb2 0.841 0.159 0.500 1
Rh2 0.667 0.333 0.000 1
Se3 0.940 0.570 0.821 1
Se4 0.060 0.430 0.179 1
Rb3 0.159 0.841 0.500 1
Se5 0.691 0.691 0.177 1
Se6 0.570 0.940 0.821 1
```

## Properties
Formation energy (no corrections): -942 meV/atom
Space-group type: No. 12

***

The following is a DFT calculation (PBE) of an optimized crystal structure of AlCdAs2.

CIF file:
```
data_AlCdAs2
_chemical_formula_sum 'Al1 Cd1 As2'
_space_group_name_H-M_alt 'P 1'
_space_group_IT_number 1
_cell_length_a 5.698
_cell_length_b 7.664
_cell_length_c 2.882
_cell_angle_alpha 95.48
_cell_angle_beta 71.51
_cell_angle_gamma 134.16
loop_
_space_group_symop_operation_xyz
'x,y,z'
loop_
_atom_site_label
_atom_site_fract_x
_atom_site_fract_y
_atom_site_fract_z
_atom_site_occupancy
As1 0.000 0.000 0.000 1
As2 0.000 0.500 0.500 1
Cd1 0.500 0.500 0.000 1
Al1 0.500 0.000 0.500 1
```

## Properties
Energy above the lowest structure with this stoichiometry: 0.269 eV/atom
Space-group type: No. 12
Energy of formation from the pure elements: 51 kJ/mol of formula units

***

The following is a DFT calculation (PBE) of an optimized crystal structure of Co2SiPb.

CIF file:
```
data_Co2SiPb
_chemical_formula_sum 'Co2 Si1 Pb1'
_space_group_name_H-M_alt 'P 1'
_space_group_IT_number 1
_cell_length_a 4.277
_cell_length_b 4.287
_cell_length_c 3.164
_cell_angle_alpha 90.00
_cell_angle_beta 90.00
_cell_angle_gamma 90.00
loop_
_space_group_symop_operation_xyz
'x,y,z'
loop_
_atom_site_label
_atom_site_fract_x
_atom_site_fract_y
_atom_site_fract_z
_atom_site_occupancy
Si1 0.000 0.500 0.500 1
Co1 0.000 0.000 0.000 1
Co2 0.500 0.500 0.000 1
Pb1 0.500 0.000 0.500 1
```

## Properties
Formation energy (no corrections): 395 meV/atom
Energy above the lowest structure with this stoichiometry: 0.355 eV/atom
Space-group type: No. 47

***

The following is a DFT calculation (PBE) of an optimized crystal structure of LaSmHgIr.

CIF file:
```
data_LaSmHgIr
_chemical_formula_sum 'La1 Sm1 Hg1 Ir1'
_space_group_name_H-M_alt 'P 1'
_space_group_IT_number 1
_cell_length_a 4.229
_cell_length_b 4.229
_cell_length_c 7.623
_cell_angle_alpha 89.99
_cell_angle_beta 89.99
_cell_angle_gamma 60.00
loop_
_space_group_symop_operation_xyz
'x,y,z'
loop_
_atom_site_label
_atom_site_fract_x
_atom_site_fract_y
_atom_site_fract_z
_atom_site_occupancy
Ir1 0.868 0.868 0.818 1
Sm1 0.201 0.201 0.012 1
La1 0.535 0.535 0.617 1
Hg1 0.868 0.868 0.301 1
```

## Properties
Energy above the lowest structure with this stoichiometry: 0.000 eV/atom
Space-group type: No. 156
Energy of formation from the pure elements: -235 kJ/mol of formula units

***

The following is a DFT calculation (PBE) of an optimized crystal structure of K2Pb2Br.

CIF file:
```
data_K2Pb2Br
_chemical_formula_sum 'K4 Pb4 Br2'
_space_group_name_H-M_alt 'P 1'
_space_group_IT_number 1
_cell_length_a 10.197
_cell_length_b 10.197
_cell_length_c 3.906
_cell_angle_alpha 90.00
_cell_angle_beta 90.00
_cell_angle_gamma 90.00
loop_
_space_group_symop_operation_xyz
'x,y,z'
loop_
_atom_site_label
_atom_site_fract_x
_atom_site_fract_y
_atom_site_fract_z
_atom_site_occupancy
K1 0.798 0.298 0.500 1
K2 0.202 0.702 0.500 1
Pb1 0.400 0.900 0.000 1
Br1 0.000 0.000 0.000 1
Pb2 0.600 0.100 0.000 1
Br2 0.500 0.500 0.000 1
K3 0.298 0.202 0.500 1
Pb3 0.900 0.600 0.000 1
K4 0.702 0.798 0.500 1
Pb4 0.100 0.400 0.000 1
```

## Properties
Formation energy (no corrections): -304 meV/atom
Energy above the lowest structure with this stoichiometry: 0.020 eV/atom
Space-group type: No. 127

***

The following is a DFT calculation (PBE) of an optimized crystal structure of Tb4Nd19Y6.

CIF file:
```
data_Tb4Nd19Y6
_chemical_formula_sum 'Tb4 Nd19 Y6'
_space_group_name_H-M_alt 'P 1'
_space_group_IT_number 1
_cell_length_a 11.018
_cell_length_b 11.018
_cell_length_c 11.018
_cell_angle_alpha 109.47
_cell_angle_beta 109.47
_cell_angle_gamma 109.47
loop_
_space_group_symop_operation_xyz
'x,y,z'
loop_
_atom_site_label
_atom_site_fract_x
_atom_site_fract_y
_atom_site_fract_z
_atom_site_occupancy
Nd1 0.221 0.540 0.196 1
Nd2 0.344 0.024 0.804 1
Nd3 0.743 0.000 0.743 1
Nd4 0.656 0.460 0.680 1
Y1 0.626 0.500 0.126 1
Nd5 0.743 0.743 0.000 1
Nd6 0.024 0.804 0.344 1
Y2 0.126 0.626 0.500 1
Nd7 0.000 0.000 0.000 1
Nd8 0.680 0.656 0.460 1
Y3 0.500 0.874 0.374 1
Tb1 0.637 0.000 0.000 1
Nd9 0.540 0.196 0.221 1
Nd10 0.000 0.257 0.257 1
Nd11 0.460 0.680 0.656 1
Nd12 0.804 0.344 0.024 1
Nd13 0.779 0.976 0.320 1
Y4 0.500 0.126 0.626 1
Nd14 0.257 0.257 0.000 1
Tb2 0.363 0.363 0.363 1
Nd15 0.000 0.743 0.743 1
Nd16 0.196 0.221 0.540 1
Nd17 0.320 0.779 0.976 1
Nd18 0.976 0.320 0.779 1
Tb3 0.000 0.637 0.000 1
Tb4 0.000 0.000 0.637 1
Nd19 0.257 0.000 0.257 1
Y5 0.374 0.500 0.874 1
Y6 0.874 0.374 0.500 1
```

## Properties
Space-group type: No. 197
Energy of formation from the pure elements: 1011 kJ/mol of formula units

***

The following is a DFT calculation (PBE) of an optimized crystal structure of CaGaSN2.

CIF file:
```
data_CaGaSN2
_chemical_formula_sum 'Ca1 Ga1 S1 N2'
_space_group_name_H-M_alt 'P 1'
_space_group_IT_number 1
_cell_length_a 3.987
_cell_length_b 3.987
_cell_length_c 5.062
_cell_angle_alpha 90.00
_cell_angle_beta 90.00
_cell_angle_gamma 90.00
loop_
_space_group_symop_operation_xyz
'x,y,z'
loop_
_atom_site_label
_atom_site_fract_x
_atom_site_fract_y
_atom_site_fract_z
_atom_site_occupancy
Ca1 0.500 0.500 0.500 1
Ga1 0.000 0.000 0.000 1
N1 0.500 0.000 0.000 1
N2 0.000 0.500 0.000 1
S1 0.000 0.000 0.500 1
```

## Properties
Formation energy (no corrections): 241 meV/atom
Energy above the lowest structure with this stoichiometry: 0.000 eV/atom
Space-group type: No. 123

***

The following is a DFT calculation (PBE) of an optimized crystal structure of PuCuBiO6.

CIF file:
```
data_PuCuBiO6
_chemical_formula_sum 'Pu2 Cu2 Bi2 O12'
_space_group_name_H-M_alt 'P 1'
_space_group_IT_number 1
_cell_length_a 5.318
_cell_length_b 5.318
_cell_length_c 10.207
_cell_angle_alpha 90.00
_cell_angle_beta 90.00
_cell_angle_gamma 120.00
loop_
_space_group_symop_operation_xyz
'x,y,z'
loop_
_atom_site_label
_atom_site_fract_x
_atom_site_fract_y
_atom_site_fract_z
_atom_site_occupancy
O1 0.350 0.358 0.861 1
O2 0.642 0.992 0.861 1
Pu1 0.333 0.667 0.750 1
O3 0.992 0.350 0.139 1
Cu1 0.333 0.667 0.250 1
O4 0.008 0.358 0.639 1
O5 0.642 0.650 0.639 1
O6 0.650 0.008 0.361 1
Bi1 0.000 0.000 0.500 1
O7 0.350 0.992 0.639 1
O8 0.992 0.642 0.361 1
Cu2 0.667 0.333 0.750 1
Bi2 0.000 0.000 0.000 1
O9 0.358 0.350 0.361 1
Pu2 0.667 0.333 0.250 1
O10 0.358 0.008 0.139 1
O11 0.008 0.650 0.861 1
O12 0.650 0.642 0.139 1
```

## Properties
Formation energy (no corrections): -1565 meV/atom
Space-group type: No. 163